BeGeC3 GGA-PBE optimized geometry; space-group type = Pm-3m (221); formation enthalpy at 0 K = 2.909 eV per atom
1.0
3.9225 0.0000 0.0000
0.0000 3.9225 0.0000
0.0000 0.0000 3.9225
Be Ge C
1 1 3
Direct
0.0000 0.0000 0.0000
0.5000 0.5000 0.5000
0.0000 0.5000 0.5000
0.5000 0.0000 0.5000
0.5000 0.5000 0.0000


Be2GeC GGA-PBE optimized geometry; space-group type = Fm-3m (225); formation enthalpy at 0 K = 1.385 eV per atom
1.0
5.5556 0.0000 0.0000
0.0000 5.5556 0.0000
0.0000 0.0000 5.5556
Be Ge C
8 4 4
Direct
0.2500 0.2500 0.2500
0.2500 0.2500 0.7500
0.2500 0.7500 0.2500
0.2500 0.7500 0.7500
0.7500 0.2500 0.2500
0.7500 0.2500 0.7500
0.7500 0.7500 0.2500
0.7500 0.7500 0.7500
0.0000 0.0000 0.0000
0.0000 0.5000 0.5000
0.5000 0.0000 0.5000
0.5000 0.5000 0.0000
0.0000 0.0000 0.5000
0.0000 0.5000 0.0000
0.5000 0.0000 0.0000
0.5000 0.5000 0.5000


BeGeC2 GGA-PBE optimized geometry; space-group type = I-42d (122); formation enthalpy at 0 K = 0.972 eV per atom
1.0
4.0243 0.0000 0.0000
0.0000 4.0243 0.0000
0.0000 0.0000 10.0953
Be Ge C
4 4 8
Direct
0.0000 0.0000 0.0000
0.0000 0.5000 0.2500
0.5000 0.0000 0.7500
0.5000 0.5000 0.5000
0.0000 0.0000 0.5000
0.0000 0.5000 0.7500
0.5000 0.0000 0.2500
0.5000 0.5000 0.0000
0.2152 0.2500 0.1250
0.2500 0.7152 0.3750
0.2500 0.7848 0.8750
0.2848 0.2500 0.6250
0.7152 0.7500 0.6250
0.7500 0.2152 0.8750
0.7500 0.2848 0.3750
0.7848 0.7500 0.1250


These records have M_tot values of 0.000 0.000 0.000 μB/atom, in the order they appear.